(1)
The following is a DFT calculation (PBE) of crystalline PmHo3Ag4 at its relaxed geometry.

- Symmetry: P4/mmm (123)
- DOS at the Fermi energy: 0.637 states/eV/atom
- Electronic total energy: -4.045 eV per atom
- Formation energy from the elements: -239 kJ/mol of formula units
- Size of the total moment: 0.0 μB/cell

Cell and atoms, written as POSCAR:
```
PmHo3Ag4
1.0
5.164 0.000 0.000
0.000 7.292 0.000
0.000 0.000 10.324
Ho Pm Ag
6 2 8
Direct
0.500 0.500 0.250
0.500 0.000 0.750
0.500 0.500 0.750
0.000 0.000 0.000
0.500 0.000 0.250
0.000 0.000 0.500
0.000 0.500 0.000
0.000 0.500 0.500
0.001 0.241 0.750
0.999 0.759 0.250
0.500 0.759 0.500
0.999 0.241 0.250
0.500 0.759 0.000
0.001 0.759 0.750
0.500 0.241 0.500
0.500 0.241 0.000
```

---

(2)
The following is a DFT calculation (PBE) of crystalline Pm2HoAg at its relaxed geometry.

- Symmetry: C2/c (15)
- DOS at the Fermi energy: 1.169 states/eV/atom
- Electronic total energy: -4.269 eV per atom
- Formation energy from the elements: -14 kJ/mol of formula units
- Excess energy over the best structure of this formula in the dataset: 86 meV/atom
- Size of the total moment: 0.0 μB/cell

Cell and atoms, written as POSCAR:
```
Pm2HoAg
1.0
6.244 0.000 0.000
0.000 6.507 -0.058
-3.122 -1.682 5.763
Pm Ho Ag
4 2 2
Direct
0.221 0.108 0.430
0.779 0.892 0.570
0.209 0.608 0.430
0.791 0.392 0.570
0.330 0.250 0.000
0.670 0.750 0.000
0.806 0.250 0.000
0.194 0.750 0.000
```

---

(3)
The following is a DFT calculation (PBE) of crystalline PmHoAg at its relaxed geometry.

- Symmetry: Pnma (62)
- DOS at the Fermi energy: 1.122 states/eV/atom
- Electronic total energy: -4.234 eV per atom
- Formation energy from the elements: -51 kJ/mol of formula units
- Excess energy over the best structure of this formula in the dataset: 0 meV/atom
- Size of the total moment: 0.0 μB/cell

Cell and atoms, written as POSCAR:
```
PmHoAg
1.0
5.196 0.000 0.000
0.000 9.295 0.000
0.000 0.000 6.893
Pm Ag Ho
4 4 4
Direct
0.250 0.418 0.339
0.250 0.082 0.839
0.750 0.918 0.161
0.750 0.582 0.661
0.250 0.095 0.278
0.750 0.905 0.722
0.750 0.595 0.222
0.250 0.405 0.778
0.250 0.809 0.489
0.750 0.191 0.511
0.750 0.309 0.011
0.250 0.691 0.989
```

---

(4)
The following is a DFT calculation (PBE) of crystalline PmHo3Ag at its relaxed geometry.

- Symmetry: C2/m (12)
- DOS at the Fermi energy: 1.379 states/eV/atom
- Electronic total energy: -4.213 eV per atom
- Formation energy from the elements: 26 kJ/mol of formula units
- Size of the total moment: 0.0 μB/cell

Cell and atoms, written as POSCAR:
```
PmHo3Ag
1.0
-3.319 -6.179 0.986
5.358 -1.084 -4.505
4.290 3.061 6.014
Ho Ag Pm
6 2 2
Direct
0.744 0.444 0.188
0.774 0.618 0.805
0.813 0.969 0.195
0.187 0.031 0.805
0.226 0.382 0.195
0.256 0.556 0.812
0.692 0.752 0.444
0.308 0.248 0.556
0.316 0.916 0.232
0.684 0.084 0.768
```

---

(5)
The following is a DFT calculation (PBE) of crystalline PmHo2Ag2 at its relaxed geometry.

- Symmetry: P2_1/m (11)
- DOS at the Fermi energy: 0.851 states/eV/atom
- Electronic total energy: -4.150 eV per atom
- Formation energy from the elements: -110 kJ/mol of formula units
- Excess energy over the best structure of this formula in the dataset: 0 meV/atom
- Size of the total moment: 0.0 μB/cell

Cell and atoms, written as POSCAR:
```
PmHo2Ag2
1.0
3.613 0.000 -0.483
0.000 5.312 0.000
-0.015 0.000 13.593
Pm Ho Ag
2 4 4
Direct
0.854 0.750 0.709
0.146 0.250 0.291
0.235 0.750 0.470
0.952 0.250 0.905
0.048 0.750 0.095
0.765 0.250 0.530
0.643 0.750 0.285
0.357 0.250 0.715
0.456 0.750 0.911
0.544 0.250 0.089
```

---

(6)
The following is a DFT calculation (PBE) of crystalline Pm2Ho3Ag3 at its relaxed geometry.

- Symmetry: Immm (71)
- DOS at the Fermi energy: 0.890 states/eV/atom
- Electronic total energy: -4.172 eV per atom
- Formation energy from the elements: -154 kJ/mol of formula units
- Size of the total moment: 0.0 μB/cell

Cell and atoms, written as POSCAR:
```
Pm2Ho3Ag3
1.0
3.664 0.000 -0.590
-0.198 5.108 -1.228
-0.062 0.005 11.282
Ag Ho Pm
3 3 2
Direct
0.113 0.113 0.227
0.000 0.500 0.000
0.887 0.887 0.773
0.382 0.382 0.764
0.618 0.618 0.236
0.500 0.000 0.000
0.269 0.769 0.538
0.731 0.231 0.462
```

---

(7)
The following is a DFT calculation (PBE) of crystalline PmHo2Ag2 at its relaxed geometry.

- Symmetry: P2_1/m (11)
- DOS at the Fermi energy: 1.133 states/eV/atom
- Electronic total energy: -4.037 eV per atom
- Formation energy from the elements: -56 kJ/mol of formula units
- Excess energy over the best structure of this formula in the dataset: 112 meV/atom
- Size of the total moment: 0.0 μB/cell

Cell and atoms, written as POSCAR:
```
PmHo2Ag2
1.0
-0.614 -4.417 -2.033
5.200 -0.595 -0.278
-0.885 -4.477 9.996
Ag Ho Pm
4 4 2
Direct
0.750 0.645 0.006
0.750 0.228 0.367
0.250 0.355 0.994
0.250 0.772 0.633
0.250 0.250 0.506
0.750 0.750 0.494
0.750 0.158 0.112
0.250 0.842 0.888
0.250 0.698 0.244
0.750 0.302 0.756
```

---

(8)
The following is a DFT calculation (PBE) of crystalline Pm4HoAg at its relaxed geometry.

- Symmetry: P4/mmm (123)
- DOS at the Fermi energy: 1.356 states/eV/atom
- Electronic total energy: -4.474 eV per atom
- Formation energy from the elements: -40 kJ/mol of formula units
- Excess energy over the best structure of this formula in the dataset: 0 meV/atom
- Size of the total moment: 0.0 μB/cell

Cell and atoms, written as POSCAR:
```
Pm4HoAg
1.0
-1.741 3.043 -0.991
-3.058 -1.914 -0.505
-3.649 2.285 13.429
Pm Ag Ho
4 1 1
Direct
0.500 0.500 0.176
0.000 0.000 0.639
0.500 0.500 0.824
0.000 0.000 0.361
0.500 0.500 0.500
0.000 0.000 0.000
```

---

(9)
The following is a DFT calculation (PBE) of crystalline Pm2Ho2Ag3 at its relaxed geometry.

- Symmetry: P-1 (2)
- DOS at the Fermi energy: 1.100 states/eV/atom
- Electronic total energy: -4.033 eV per atom
- Formation energy from the elements: -99 kJ/mol of formula units
- Size of the total moment: 0.0 μB/cell

Cell and atoms, written as POSCAR:
```
Pm2Ho2Ag3
1.0
-1.850 -3.864 -2.786
4.944 0.055 1.324
-2.272 -1.658 8.489
Ho Pm Ag
2 2 3
Direct
0.751 0.376 0.127
0.249 0.624 0.873
0.251 0.126 0.379
0.749 0.874 0.621
0.000 0.000 0.000
0.494 0.747 0.241
0.506 0.253 0.759
```

---

(10)
The following is a DFT calculation (PBE) of crystalline PmHoAg4 at its relaxed geometry.

- Symmetry: Cmmm (65)
- DOS at the Fermi energy: 0.495 states/eV/atom
- Electronic total energy: -3.742 eV per atom
- Formation energy from the elements: -166 kJ/mol of formula units
- Excess energy over the best structure of this formula in the dataset: 1 meV/atom
- Size of the total moment: 0.0 μB/cell

Cell and atoms, written as POSCAR:
```
PmHoAg4
1.0
-2.286 -3.305 -3.512
-4.464 -0.027 2.933
-3.840 3.663 -0.947
Pm Ho Ag
1 1 4
Direct
0.001 0.502 0.495
0.501 0.002 0.495
0.001 0.170 0.159
0.501 0.676 0.148
0.501 0.328 0.843
0.001 0.833 0.832
```

---

(11)
The following is a DFT calculation (PBE) of crystalline PmHoAg at its relaxed geometry.

- Symmetry: P3m1 (156)
- DOS at the Fermi energy: 1.000 states/eV/atom
- Electronic total energy: -4.086 eV per atom
- Formation energy from the elements: -8 kJ/mol of formula units
- Excess energy over the best structure of this formula in the dataset: 148 meV/atom
- Size of the total moment: 0.0 μB/cell

Cell and atoms, written as POSCAR:
```
PmHoAg
1.0
3.726 0.000 0.000
0.000 5.078 0.000
0.000 -2.539 4.397
Ho Pm Ag
1 1 1
Direct
0.586 0.667 0.333
0.042 0.000 0.000
0.372 0.333 0.667
```

---

(12)
The following is a DFT calculation (PBE) of crystalline PmHoAgRu at its relaxed geometry.

- Symmetry: F-43m (216)
- DOS at the Fermi energy: 0.789 states/eV/atom
- Electronic total energy: -5.650 eV per atom
- Formation energy from the elements: -111 kJ/mol of formula units
- Excess energy over the best structure of this formula in the dataset: 67 meV/atom
- Size of the total moment: 0.0 μB/cell

Cell and atoms, written as POSCAR:
```
PmHoAgRu
1.0
-1.535 -4.322 -2.028
3.166 -2.737 -2.763
1.745 -4.358 1.765
Pm Ru Ho Ag
1 1 1 1
Direct
0.000 0.000 0.000
0.750 0.750 0.750
0.500 0.500 0.500
0.250 0.250 0.250
```

---

(13)
The following is a DFT calculation (PBE) of crystalline PmHoAgRu at its relaxed geometry.

- Symmetry: P4mm (99)
- DOS at the Fermi energy: 0.623 states/eV/atom
- Electronic total energy: -5.717 eV per atom
- Formation energy from the elements: -136 kJ/mol of formula units
- Excess energy over the best structure of this formula in the dataset: 0 meV/atom
- Size of the total moment: 0.0 μB/cell

Cell and atoms, written as POSCAR:
```
PmHoAgRu
1.0
3.451 0.000 0.000
0.000 3.451 0.000
0.000 0.000 7.606
Ag Ru Pm Ho
1 1 1 1
Direct
0.000 0.000 0.085
0.000 0.000 0.560
0.500 0.500 0.792
0.500 0.500 0.347
```